DFT (GGA-PBE) results for a relaxed structure of Sm8Tl4CSe3.

a b c (Å): 9.240 9.240 9.240
angles (deg): 51.60 51.60 51.60
Fractional positions:
Sm1 0.240 0.240 0.240
Sm2 0.267 0.715 0.715
Sm3 0.285 0.285 0.733
Sm4 0.285 0.733 0.285
Sm5 0.715 0.267 0.715
Sm6 0.715 0.715 0.267
Sm7 0.733 0.285 0.285
Sm8 0.760 0.760 0.760
Tl1 0.000 0.000 0.000
Tl2 0.000 0.500 0.500
Tl3 0.500 0.000 0.500
Tl4 0.500 0.500 0.000
C1 0.500 0.500 0.500
Se1 0.000 0.000 0.500
Se2 0.000 0.500 0.000
Se3 0.500 0.000 0.000

Values from the calculation:
ΔE_f (raw): -0.887 eV/atom
Total energy: -5.0685 eV per atom
Mass density: 8420 kg/m³
Spin magnetization: 0.00 μB/cell